A relaxed K2U2N5 crystal, computed with GGA-PBE.

Unit cell a=6.426 b=6.908 c=7.527 alpha=117.32 beta=90.00 gamma=90.00
Sites, in units of the cell vectors:
K1 0.500 0.280 0.560
K2 0.500 0.720 0.440
K3 0.000 0.220 0.440
K4 0.000 0.780 0.560
U1 0.144 0.702 0.000
U2 0.356 0.202 0.000
U3 0.644 0.798 0.000
U4 0.856 0.298 0.000
N1 0.370 0.724 0.806
N2 0.630 0.082 0.806
N3 0.630 0.276 0.194
N4 0.130 0.224 0.806
N5 0.000 0.000 0.000
N6 0.870 0.776 0.194
N7 0.130 0.418 0.194
N8 0.370 0.918 0.194
N9 0.870 0.582 0.806
N10 0.500 0.500 0.000

ΔE_f (raw), eV per atom: -0.69
Calculated volume, Å³ per cell: 297